# 1
First-principles (PBE-GGA) data for a relaxed LaDyGa2Pd5 crystal, as listed in the Alexandria database.

## Properties
D(E_F) = 6.0 states/eV per cell
Formation energy from the elements = -0.781 eV/atom

Cell lengths 4.282, 4.282, 9.265 Å; angles 90.00, 90.00, 90.00 degrees
Fractional positions:
La 0.000 0.000 0.500
Dy 0.000 0.000 0.000
Ga 0.500 0.500 0.133
Ga 0.500 0.500 0.867
Pd 0.000 0.500 0.270
Pd 0.500 0.000 0.270
Pd 0.000 0.500 0.730
Pd 0.500 0.000 0.730
Pd 0.500 0.500 0.500

---

# 2
First-principles (PBE-GGA) data for a relaxed Ac2PrY5 crystal, as listed in the Alexandria database.

## Properties
D(E_F) = 40.3 states/eV per cell
Formation energy from the elements = 0.031 eV/atom

Cell lengths 7.425, 7.343, 20.765 Å; angles 90.00, 90.00, 90.00 degrees
Fractional positions:
Ac 0.752 0.000 0.500
Ac 0.248 0.500 0.000
Ac 0.248 0.000 0.500
Ac 0.752 0.500 0.000
Ac 0.500 0.737 0.629
Ac 0.500 0.263 0.371
Ac 0.500 0.763 0.129
Ac 0.500 0.237 0.871
Pr 0.000 0.239 0.872
Pr 0.000 0.761 0.128
Pr 0.000 0.261 0.372
Pr 0.000 0.739 0.628
Y 0.753 0.000 0.000
Y 0.247 0.500 0.500
Y 0.247 0.000 0.000
Y 0.753 0.500 0.500
Y 0.000 0.249 0.627
Y 0.000 0.751 0.373
Y 0.000 0.251 0.127
Y 0.000 0.749 0.873
Y 0.500 0.244 0.628
Y 0.500 0.756 0.372
Y 0.500 0.256 0.128
Y 0.500 0.744 0.872
Y 0.755 0.490 0.750
Y 0.755 0.510 0.250
Y 0.245 0.010 0.250
Y 0.245 0.990 0.750
Y 0.245 0.510 0.250
Y 0.245 0.490 0.750
Y 0.755 0.990 0.750
Y 0.755 0.010 0.250

---

# 3
First-principles (PBE-GGA) data for a relaxed NdAgAsF crystal, as listed in the Alexandria database.

## Properties
D(E_F) = 0.4 states/eV per cell

Cell lengths 4.068, 4.068, 9.076 Å; angles 90.00, 90.00, 90.00 degrees
Fractional positions:
Nd 0.000 0.500 0.826
Nd 0.500 0.000 0.174
Ag 0.000 0.000 0.500
Ag 0.500 0.500 0.500
As 0.500 0.000 0.708
As 0.000 0.500 0.292
F 0.500 0.500 0.000
F 0.000 0.000 0.000

---

# 4
First-principles (PBE-GGA) data for a relaxed AlIr4Se crystal, as listed in the Alexandria database.

## Properties
D(E_F) = 9.1 states/eV per cell

Cell lengths 5.214, 5.214, 5.214 Å; angles 60.00, 60.00, 60.00 degrees
Fractional positions:
Al 0.000 0.000 0.000
Ir 0.875 0.375 0.375
Ir 0.375 0.375 0.875
Ir 0.375 0.875 0.375
Ir 0.375 0.375 0.375
Se 0.750 0.750 0.750

---

# 5
First-principles (PBE-GGA) data for a relaxed Ac6TlPt2Br3 crystal, as listed in the Alexandria database.

## Properties
D(E_F) = 6.4 states/eV per cell

Cell lengths 4.462, 9.727, 10.676 Å; angles 105.32, 102.06, 90.00 degrees
Fractional positions:
Ac 0.336 0.875 0.673
Ac 0.680 0.559 0.359
Ac 0.664 0.125 0.327
Ac 0.018 0.259 0.036
Ac 0.982 0.741 0.964
Ac 0.320 0.441 0.641
Tl 0.500 0.000 0.000
Pt 0.831 0.659 0.661
Pt 0.169 0.341 0.339
Br 0.500 0.500 0.000
Br 0.841 0.166 0.681
Br 0.159 0.834 0.319

---

# 6
First-principles (PBE-GGA) data for a relaxed CaLa3 crystal, as listed in the Alexandria database.

## Properties
D(E_F) = 14.7 states/eV per cell
Formation energy from the elements = 0.076 eV/atom

Cell lengths 6.016, 6.614, 7.674 Å; angles 90.00, 90.00, 90.00 degrees
Fractional positions:
Ca 0.000 0.338 0.000
Ca 0.500 0.662 0.500
La 0.500 0.680 0.000
La 0.000 0.320 0.500
La 0.000 0.840 0.247
La 0.000 0.840 0.753
La 0.500 0.160 0.747
La 0.500 0.160 0.253

---

# 7
First-principles (PBE-GGA) data for a relaxed AgAuCl3 crystal, as listed in the Alexandria database.

## Properties
D(E_F) = 1.3 states/eV per cell
E above lowest polymorph = 0.418 eV per atom

Cell lengths 5.002, 5.002, 5.002 Å; angles 90.00, 90.00, 90.00 degrees
Fractional positions:
Au 0.500 0.500 0.500
Ag 0.000 0.000 0.000
Cl 0.000 0.500 0.000
Cl 0.000 0.000 0.500
Cl 0.500 0.000 0.000

---

# 8
First-principles (PBE-GGA) data for a relaxed ScSiAu2 crystal, as listed in the Alexandria database.

## Properties
D(E_F) = 2.7 states/eV per cell

Cell lengths 4.136, 4.136, 4.165 Å; angles 90.00, 90.00, 90.00 degrees
Fractional positions:
Au 0.000 0.000 0.000
Au 0.500 0.500 0.000
Sc 0.500 0.000 0.500
Si 0.000 0.500 0.500

---

# 9
First-principles (PBE-GGA) data for a relaxed Zr2Cr2Os crystal, as listed in the Alexandria database.

## Properties
D(E_F) = 10.0 states/eV per cell
Formation energy from the elements = 0.643 eV/atom
E above lowest polymorph = 0.606 eV per atom

Cell lengths 7.358, 7.358, 3.271 Å; angles 90.00, 90.00, 90.00 degrees
Fractional positions:
Cr 0.138 0.638 0.500
Cr 0.638 0.862 0.500
Cr 0.862 0.362 0.500
Cr 0.362 0.138 0.500
Os 0.000 0.000 0.000
Os 0.500 0.500 0.000
Zr 0.336 0.836 0.000
Zr 0.836 0.664 0.000
Zr 0.664 0.164 0.000
Zr 0.164 0.336 0.000

---

# 10
First-principles (PBE-GGA) data for a relaxed NaAgRh3 crystal, as listed in the Alexandria database.

## Properties
D(E_F) = 9.2 states/eV per cell
Formation energy from the elements = 1.468 eV/atom
E above lowest polymorph = 0.000 eV per atom

Cell lengths 4.915, 4.915, 4.915 Å; angles 90.00, 90.00, 90.00 degrees
Fractional positions:
Na 0.500 0.500 0.500
Rh 0.000 0.500 0.000
Rh 0.000 0.000 0.500
Rh 0.500 0.000 0.000
Ag 0.000 0.000 0.000

---

# 11
First-principles (PBE-GGA) data for a relaxed Ta3Mn6P5 crystal, as listed in the Alexandria database.

## Properties
D(E_F) = 15.2 states/eV per cell
Formation energy from the elements = -0.555 eV/atom

Cell lengths 3.669, 8.470, 11.279 Å; angles 90.00, 90.00, 90.00 degrees
Fractional positions:
Ta 0.000 0.248 0.689
Ta 0.500 0.752 0.189
Ta 0.500 0.752 0.811
Ta 0.000 0.269 0.000
Ta 0.500 0.731 0.500
Ta 0.000 0.248 0.311
Mn 0.000 0.992 0.839
Mn 0.500 0.008 0.661
Mn 0.500 0.413 0.814
Mn 0.500 0.594 0.000
Mn 0.000 0.406 0.500
Mn 0.000 0.587 0.686
Mn 0.000 0.587 0.314
Mn 0.500 0.991 0.000
Mn 0.000 0.992 0.161
Mn 0.500 0.413 0.186
Mn 0.000 0.009 0.500
Mn 0.500 0.008 0.339
P 0.000 0.531 0.877
P 0.000 0.849 0.660
P 0.000 0.828 0.000
P 0.500 0.469 0.623
P 0.500 0.172 0.500
P 0.000 0.531 0.123
P 0.500 0.469 0.377
P 0.000 0.849 0.340
P 0.500 0.151 0.840
P 0.500 0.151 0.160

---

# 12
First-principles (PBE-GGA) data for a relaxed PaVAu crystal, as listed in the Alexandria database.

## Properties
D(E_F) = 3.5 states/eV per cell
Formation energy from the elements = 0.002 eV/atom
E above lowest polymorph = 0.000 eV per atom

Cell lengths 3.033, 3.033, 6.617 Å; angles 103.25, 103.25, 90.00 degrees
Fractional positions:
Pa 0.324 0.324 0.648
Au 0.021 0.021 0.041
V 0.655 0.655 0.311

---

no.,uncorrected energy (eV/atom)
1,-5.397
2,-5.634
3,-5.351
4,-6.532
5,-4.809
6,-4.120
7,-2.185
8,-4.994
9,-8.872
10,-3.777
11,-8.957
12,-7.295